(1)
{"formula": "PmDy3Ho4S8", "functional": "PBE", "state": "optimized geometry", "magnetic_moment_mub_per_fu": 0.0, "cell": [[3.911, 2.258, 6.393], [-3.911, 2.258, 6.393], [0.000, -4.515, 6.393]], "species": ["Pm", "Dy", "Dy", "Dy", "Ho", "Ho", "Ho", "Ho", "S", "S", "S", "S", "S", "S", "S", "S"], "fractional_positions": [[0.000, 0.000, 0.000], [0.000, 0.500, 0.500], [0.500, 0.000, 0.500], [0.500, 0.500, 0.000], [0.000, 0.000, 0.500], [0.000, 0.500, 0.000], [0.500, 0.000, 0.000], [0.500, 0.500, 0.500], [0.249, 0.249, 0.249], [0.253, 0.745, 0.745], [0.255, 0.255, 0.747], [0.255, 0.747, 0.255], [0.745, 0.253, 0.745], [0.745, 0.745, 0.253], [0.747, 0.255, 0.255], [0.751, 0.751, 0.751]]}

(2)
{"formula": "AcDyInAu", "functional": "PBE", "state": "optimized geometry", "formation_enthalpy_0k_mev_per_atom": -524.3, "magnetic_moment_mub_per_fu": 0.0, "cell": [[0.000, 3.874, 3.874], [3.874, 0.000, 3.874], [3.874, 3.874, 0.000]], "species": ["Ac", "Dy", "In", "Au"], "fractional_positions": [[0.000, 0.000, 0.000], [0.500, 0.500, 0.500], [0.250, 0.250, 0.250], [0.750, 0.750, 0.750]]}

(3)
{"formula": "La2PmZn2", "functional": "PBE", "state": "optimized geometry", "formation_enthalpy_0k_mev_per_atom": -190.4, "magnetic_moment_mub_per_fu": 0.0, "de_polymorph_ev_per_atom": 0.041, "cell": [[-2.457, 3.461, 4.152], [2.457, -3.461, 4.152], [2.457, 3.461, -4.152]], "species": ["La", "La", "Pm", "Zn", "Zn"], "fractional_positions": [[0.193, 0.193, 0.000], [0.807, 0.807, 0.000], [0.500, 0.000, 0.500], [0.202, 0.500, 0.702], [0.798, 0.500, 0.298]]}

Number 1: VASP energy -6.35 eV per atom. Number 2: VASP energy -4.21 eV per atom. Number 3: VASP energy -3.62 eV per atom.